This record from Alexandria via LeMat-Bulk describes an optimized crystal structure of Ac3Ga2Ni4Ge2. The functional is PBE.

The calculation puts the formation enthalpy at 0 K at -5.24 eV per formula unit. As for the crystal system: trigonal.

The structure belongs to space group P-3m1 (No. 164); the cell edges are 4.2183, 4.2183 and 15.7334 Å and the angles 90.00°, 90.00° and 120.00°. The inequivalent atoms are Ac at (0.0000, 0.0000, 0.0000), Ac at (0.0000, 0.0000, 0.2829), Ga at (0.3333, 0.6667, 0.5628), Ni at (0.3333, 0.6667, 0.4110), Ni at (0.3333, 0.6667, 0.8552) and Ge at (0.3333, 0.6667, 0.1414).